No. 1
## ReSiCl2 (GGA-PBE)

Data for ReSiCl2 after structural relaxation.

Structure (CIF):
```
data_ReSiCl2
_cell_length_a 2.946
_cell_length_b 4.131
_cell_length_c 14.807
_cell_angle_alpha 90.00
_cell_angle_beta 90.00
_cell_angle_gamma 90.00
_space_group_name_H-M_alt 'I m m m'
_space_group_IT_number 71
_space_group_name_Hall '-I 2 2'
loop_
_atom_site_label
_atom_site_fract_x
_atom_site_fract_y
_atom_site_fract_z
Re1 0.000 0.000 0.000
Si1 0.000 0.000 0.500
Cl1 0.000 0.500 0.360
```

Computed properties:
Size of the total moment = 0.00 μB per formula unit
Mass density = 5.26 g cm⁻³
Offset from the most stable computed form = 0.270 eV/atom
Formation energy without anion corrections = 0.342 eV/f.u.

***

No. 2
## ReSi2Cl (GGA-PBE)

Data for ReSi2Cl after structural relaxation.

Structure (CIF):
```
data_ReSi2Cl
_cell_length_a 2.699
_cell_length_b 4.454
_cell_length_c 11.120
_cell_angle_alpha 90.00
_cell_angle_beta 90.00
_cell_angle_gamma 90.00
_space_group_name_H-M_alt 'I m m m'
_space_group_IT_number 71
_space_group_name_Hall '-I 2 2'
loop_
_atom_site_label
_atom_site_fract_x
_atom_site_fract_y
_atom_site_fract_z
Re1 0.000 0.000 0.000
Si1 0.000 0.500 0.298
Cl1 0.000 0.000 0.500
```

Computed properties:
Size of the total moment = 0.00 μB per formula unit
Mass density = 6.90 g cm⁻³
Offset from the most stable computed form = 0.526 eV/atom
Formation energy without anion corrections = 2.559 eV/f.u.